1.
NbSi2P | PBE | optimized geometry

Cell: 6.910 6.910 5.540 Å, 51.42 51.42 90.00°
Atoms (fractional coordinates):
P (0.500, 0.500, 0.000)
P (0.250, 0.750, 0.500)
Nb (0.000, 0.000, 0.000)
Nb (0.750, 0.250, 0.500)
Si (0.597, 0.125, 0.250)
Si (0.153, 0.625, 0.250)
Si (0.375, 0.403, 0.750)
Si (0.875, 0.847, 0.750)

The formation energy (no corrections) comes out at 0.140 eV/atom. As for the space group: No. 122. Its crystal system is tetragonal.



2.
LaFeRe2I | PBE | optimized geometry

Cell: 4.558 5.252 4.558 Å, 90.00 90.00 90.00°
Atoms (fractional coordinates):
I (0.000, 0.500, 0.000)
Re (0.000, 0.000, 0.500)
Re (0.500, 0.000, 0.000)
Fe (0.000, 0.000, 0.000)
La (0.500, 0.500, 0.500)

The formation energy (no corrections) comes out at 0.956 eV/atom. As for the space group: No. 123. Its crystal system is tetragonal.